[1]
# YPa2ZnN5

A relaxed structure of YPa2ZnN5 (GGA-PBE, Alexandria via LeMat-Bulk).

Results
- uncorrected formation energy (meV/atom) = -1199
- electronic total energy (eV for the cell shown) = -158.299
- symmetry = Cmc2_1

Structure (POSCAR):
```
YPa2ZnN5
1.0
1.7465 -6.7520 0.0000
1.7465 6.7520 0.0000
0.0000 0.0000 10.9332
Y Pa Zn N
2 4 2 10
Direct
0.1933 0.8067 0.5000
0.8067 0.1933 0.0000
0.1195 0.8805 0.7766
0.1392 0.8608 0.2002
0.8608 0.1392 0.7002
0.8805 0.1195 0.2766
0.4929 0.5071 0.5104
0.5071 0.4929 0.0104
0.0357 0.9643 0.5941
0.2960 0.7040 0.8418
0.3016 0.6984 0.1676
0.3501 0.6499 0.5765
0.4763 0.5237 0.3232
0.5237 0.4763 0.8232
0.6499 0.3501 0.0765
0.6984 0.3016 0.6676
0.7040 0.2960 0.3418
0.9643 0.0357 0.0941
```

[2]
# YZr3Pa2N6

A relaxed structure of YZr3Pa2N6 (GGA-PBE, Alexandria via LeMat-Bulk).

Results
- uncorrected formation energy (meV/atom) = -1681
- electronic total energy (eV for the cell shown) = -121.220
- symmetry = C2/m

Structure (POSCAR):
```
YZr3Pa2N6
1.0
7.3584 -1.6840 0.0000
7.3584 1.6840 0.0000
-1.5651 0.0000 6.5917
Y Zr Pa N
1 3 2 6
Direct
0.0000 0.0000 0.0000
0.0000 0.0000 0.5000
0.3354 0.3354 0.1696
0.6646 0.6646 0.8304
0.3332 0.3332 0.6665
0.6668 0.6668 0.3335
0.1621 0.1621 0.5938
0.1696 0.1696 0.0801
0.4990 0.4990 0.7396
0.5010 0.5010 0.2604
0.8304 0.8304 0.9199
0.8379 0.8379 0.4062
```

[3]
# YZr2PaN4

A relaxed structure of YZr2PaN4 (GGA-PBE, Alexandria via LeMat-Bulk).

Results
- uncorrected formation energy (meV/atom) = -1691
- electronic total energy (eV for the cell shown) = -79.888
- symmetry = P2/m

Structure (POSCAR):
```
YZr2PaN4
1.0
5.8382 0.0000 0.0000
0.0000 3.3675 0.0000
-1.9367 0.0000 5.5202
Y Zr Pa N
1 2 1 4
Direct
0.0000 0.0000 0.0000
0.0000 0.5000 0.5000
0.5000 0.0000 0.5000
0.5000 0.5000 0.0000
0.2493 0.0000 0.7389
0.2613 0.5000 0.2617
0.7387 0.5000 0.7383
0.7507 0.0000 0.2611
```

[4]
# YZrPa2N4

A relaxed structure of YZrPa2N4 (GGA-PBE, Alexandria via LeMat-Bulk).

Results
- uncorrected formation energy (meV/atom) = -1647
- electronic total energy (eV for the cell shown) = -80.480
- symmetry = P2/m

Structure (POSCAR):
```
YZrPa2N4
1.0
5.9375 0.0000 0.0000
0.0000 3.4369 0.0000
-1.9819 0.0000 5.6209
Y Zr Pa N
1 1 2 4
Direct
0.0000 0.0000 0.0000
0.5000 0.5000 0.0000
0.0000 0.5000 0.5000
0.5000 0.0000 0.5000
0.2591 0.0000 0.7558
0.2586 0.5000 0.2499
0.7409 0.0000 0.2442
0.7414 0.5000 0.7501
```

[5]
# YZr4PaN8

A relaxed structure of YZr4PaN8 (GGA-PBE, Alexandria via LeMat-Bulk).

Results
- uncorrected formation energy (meV/atom) = -1451
- electronic total energy (eV for the cell shown) = -137.074
- symmetry = R3m

Structure (POSCAR):
```
YZr4PaN8
1.0
3.3046 1.9079 5.4333
-3.3046 1.9079 5.4333
0.0000 -3.8158 5.4333
Y Zr Pa N
1 4 1 8
Direct
0.0000 0.0000 0.0000
0.0019 0.0019 0.5013
0.0019 0.5013 0.0019
0.5013 0.0019 0.0019
0.6240 0.6240 0.6240
0.3825 0.3825 0.3825
0.2333 0.7457 0.7457
0.2422 0.2422 0.2422
0.2458 0.2458 0.7805
0.2458 0.7805 0.2458
0.7457 0.2333 0.7457
0.7457 0.7457 0.2334
0.7570 0.7570 0.7570
0.7805 0.2458 0.2458
```

[6]
# Pa3Zn5N12

A relaxed structure of Pa3Zn5N12 (GGA-PBE, Alexandria via LeMat-Bulk).

Results
- uncorrected formation energy (meV/atom) = 93
- electronic total energy (eV for the cell shown) = -531.580
- symmetry = Ia-3d

Structure (POSCAR):
```
Pa3Zn5N12
1.0
-6.2982 6.2982 6.2982
6.2982 -6.2982 6.2982
6.2982 6.2982 -6.2982
Pa Zn N
12 20 48
Direct
0.1250 0.2500 0.3750
0.1250 0.3750 0.7500
0.2500 0.3750 0.1250
0.2500 0.8750 0.6250
0.3750 0.1250 0.2500
0.3750 0.7500 0.1250
0.6250 0.2500 0.8750
0.6250 0.8750 0.7500
0.7500 0.1250 0.3750
0.7500 0.6250 0.8750
0.8750 0.6250 0.2500
0.8750 0.7500 0.6250
0.0000 0.0000 0.0000
0.0000 0.0000 0.5000
0.0000 0.5000 0.0000
0.0000 0.5000 0.5000
0.1250 0.7500 0.8750
0.1250 0.8750 0.2500
0.2500 0.1250 0.8750
0.2500 0.6250 0.3750
0.3750 0.2500 0.6250
0.3750 0.6250 0.7500
0.5000 0.0000 0.0000
0.5000 0.0000 0.5000
0.5000 0.5000 0.0000
0.5000 0.5000 0.5000
0.6250 0.3750 0.2500
0.6250 0.7500 0.3750
0.7500 0.3750 0.6250
0.7500 0.8750 0.1250
0.8750 0.1250 0.7500
0.8750 0.2500 0.1250
0.0465 0.2217 0.1332
0.0465 0.3248 0.9133
0.0867 0.6332 0.4115
0.0867 0.9535 0.6752
0.0885 0.7217 0.6752
0.0885 0.8668 0.4133
0.1332 0.0465 0.2217
0.1332 0.5867 0.9115
0.1752 0.2217 0.5885
0.1752 0.4535 0.5867
0.2217 0.1332 0.0465
0.2217 0.5885 0.1752
0.2783 0.3248 0.9115
0.2783 0.4535 0.3668
0.3248 0.9115 0.2783
0.3248 0.9133 0.0465
0.3668 0.2783 0.4535
0.3668 0.5885 0.9133
0.4115 0.0867 0.6332
0.4115 0.8248 0.7783
0.4133 0.0885 0.8668
0.4133 0.8248 0.5465
0.4535 0.3668 0.2783
0.4535 0.5867 0.1752
0.5465 0.4133 0.8248
0.5465 0.6332 0.7217
0.5867 0.1752 0.4535
0.5867 0.9115 0.1332
0.5885 0.1752 0.2217
0.5885 0.9133 0.3668
0.6332 0.4115 0.0867
0.6332 0.7217 0.5465
0.6752 0.0867 0.9535
0.6752 0.0885 0.7217
0.7217 0.5465 0.6332
0.7217 0.6752 0.0885
0.7783 0.4115 0.8248
0.7783 0.8668 0.9535
0.8248 0.5465 0.4133
0.8248 0.7783 0.4115
0.8668 0.4133 0.0885
0.8668 0.9535 0.7783
0.9115 0.1332 0.5867
0.9115 0.2783 0.3248
0.9133 0.0465 0.3248
0.9133 0.3668 0.5885
0.9535 0.6752 0.0867
0.9535 0.7783 0.8668
```

[7]
# Pa6ZnN12

A relaxed structure of Pa6ZnN12 (GGA-PBE, Alexandria via LeMat-Bulk).

Results
- uncorrected formation energy (meV/atom) = -1167
- electronic total energy (eV for the cell shown) = -180.323
- symmetry = R-3

Structure (POSCAR):
```
Pa6ZnN12
1.0
5.0142 2.8950 3.1304
-5.0142 2.8950 3.1304
0.0000 -5.7899 3.1304
Pa Zn N
6 1 12
Direct
0.0980 0.7926 0.6369
0.2074 0.3631 0.9020
0.3631 0.9020 0.2074
0.6369 0.0980 0.7926
0.7926 0.6369 0.0980
0.9020 0.2074 0.3631
0.5000 0.5000 0.5000
0.0602 0.9085 0.3235
0.0915 0.6765 0.9398
0.1791 0.4493 0.5716
0.3235 0.0602 0.9085
0.4284 0.8209 0.5507
0.4493 0.5716 0.1791
0.5507 0.4284 0.8209
0.5716 0.1791 0.4493
0.6765 0.9398 0.0915
0.8209 0.5507 0.4284
0.9085 0.3235 0.0602
0.9398 0.0915 0.6765
```

[8]
# Pa3ZnN

A relaxed structure of Pa3ZnN (GGA-PBE, Alexandria via LeMat-Bulk).

Results
- uncorrected formation energy (meV/atom) = -513
- electronic total energy (eV for the cell shown) = -40.650
- symmetry = Pm-3m

Structure (POSCAR):
```
Pa3ZnN
1.0
4.7001 0.0000 0.0000
0.0000 4.7001 0.0000
0.0000 0.0000 4.7001
Pa Zn N
3 1 1
Direct
0.0000 0.0000 0.5000
0.0000 0.5000 0.0000
0.5000 0.0000 0.0000
0.5000 0.5000 0.5000
0.0000 0.0000 0.0000
```

[9]
# Pa2ZnN4

A relaxed structure of Pa2ZnN4 (GGA-PBE, Alexandria via LeMat-Bulk).

Results
- uncorrected formation energy (meV/atom) = -1312
- electronic total energy (eV for the cell shown) = -125.507
- symmetry = C2/m

Structure (POSCAR):
```
Pa2ZnN4
1.0
6.6529 -1.8609 0.0000
6.6529 1.8609 0.0000
-4.7990 0.0000 8.4254
Pa Zn N
4 2 8
Direct
0.1136 0.1136 0.4415
0.3347 0.3347 0.1933
0.6653 0.6653 0.8067
0.8864 0.8864 0.5585
0.3693 0.3693 0.8171
0.6307 0.6307 0.1829
0.0826 0.0826 0.6532
0.2706 0.2706 0.3901
0.2934 0.2934 0.9355
0.4631 0.4631 0.7236
0.5369 0.5369 0.2764
0.7066 0.7066 0.0645
0.7294 0.7294 0.6099
0.9174 0.9174 0.3468
```

[10]
# Pa2ZnN

A relaxed structure of Pa2ZnN (GGA-PBE, Alexandria via LeMat-Bulk).

Results
- uncorrected formation energy (meV/atom) = -376
- electronic total energy (eV for the cell shown) = -90.289
- symmetry = R-3m

Structure (POSCAR):
```
Pa2ZnN
1.0
3.2169 0.0000 0.0000
-1.6085 2.7859 0.0000
0.0000 0.0000 28.1785
Pa Zn N
6 3 3
Direct
0.0000 0.0000 0.1127
0.0000 0.0000 0.8873
0.3333 0.6667 0.5540
0.3333 0.6667 0.7794
0.6667 0.3333 0.2206
0.6667 0.3333 0.4460
0.0000 0.0000 0.0000
0.3333 0.6667 0.6667
0.6667 0.3333 0.3333
0.0000 0.0000 0.5000
0.3333 0.6667 0.1667
0.6667 0.3333 0.8333
```

[11]
# ZrPa2ZnN5

A relaxed structure of ZrPa2ZnN5 (GGA-PBE, Alexandria via LeMat-Bulk).

Results
- uncorrected formation energy (meV/atom) = -1214
- electronic total energy (eV for the cell shown) = -162.729
- symmetry = Cmc2_1

Structure (POSCAR):
```
ZrPa2ZnN5
1.0
1.6834 -6.7062 0.0000
1.6834 6.7062 0.0000
0.0000 0.0000 10.2617
Zr Pa Zn N
2 4 2 10
Direct
0.1990 0.8010 0.5000
0.8010 0.1990 0.0000
0.1242 0.8758 0.1892
0.1287 0.8713 0.7898
0.8713 0.1287 0.2898
0.8758 0.1242 0.6892
0.4891 0.5109 0.9865
0.5109 0.4891 0.4865
0.0469 0.9531 0.5783
0.2912 0.7088 0.1600
0.3037 0.6963 0.8490
0.3569 0.6431 0.5284
0.4892 0.5108 0.2910
0.5108 0.4892 0.7910
0.6431 0.3569 0.0284
0.6963 0.3037 0.3490
0.7088 0.2912 0.6600
0.9531 0.0469 0.0783
```

[12]
# ZrPa2N4

A relaxed structure of ZrPa2N4 (GGA-PBE, Alexandria via LeMat-Bulk).

Results
- uncorrected formation energy (meV/atom) = -1439
- energy above the most stable polymorph in this dataset (meV per atom) = 0
- electronic total energy (eV for the cell shown) = -141.834
- symmetry = C2/m

Structure (POSCAR):
```
ZrPa2N4
1.0
11.2487 0.0000 0.0000
0.0000 3.4343 0.0000
-2.8893 0.0000 5.3663
Zr Pa N
2 4 8
Direct
0.0000 0.0000 0.0000
0.5000 0.5000 0.0000
0.1953 0.5000 0.6980
0.3047 0.0000 0.3020
0.6953 0.0000 0.6980
0.8047 0.5000 0.3020
0.1287 0.0000 0.4236
0.1503 0.5000 0.0293
0.3497 0.0000 0.9707
0.3713 0.5000 0.5764
0.6287 0.5000 0.4236
0.6503 0.0000 0.0293
0.8497 0.5000 0.9707
0.8713 0.0000 0.5764
```

[13]
# ZrPa2N5

A relaxed structure of ZrPa2N5 (GGA-PBE, Alexandria via LeMat-Bulk).

Results
- uncorrected formation energy (meV/atom) = -1438
- electronic total energy (eV for the cell shown) = -322.697
- symmetry = Pnma

Structure (POSCAR):
```
ZrPa2N5
1.0
7.6112 0.0000 0.0000
0.0000 3.7477 0.0000
0.0000 0.0000 16.0984
Zr Pa N
4 8 20
Direct
0.1255 0.2500 0.0680
0.3745 0.7500 0.5680
0.6255 0.2500 0.4320
0.8745 0.7500 0.9320
0.1254 0.2500 0.7501
0.1271 0.2500 0.4186
0.3729 0.7500 0.9186
0.3746 0.7500 0.2501
0.6254 0.2500 0.7499
0.6271 0.2500 0.0814
0.8729 0.7500 0.5814
0.8746 0.7500 0.2499
0.0813 0.7500 0.8333
0.1187 0.7500 0.4933
0.1247 0.7500 0.3234
0.1314 0.7500 0.0086
0.1717 0.7500 0.6676
0.3283 0.2500 0.1676
0.3686 0.2500 0.5086
0.3753 0.2500 0.8234
0.3813 0.2500 0.9933
0.4187 0.2500 0.3333
0.5813 0.7500 0.6667
0.6187 0.7500 0.0067
0.6247 0.7500 0.1766
0.6314 0.7500 0.4914
0.6717 0.7500 0.8324
0.8283 0.2500 0.3324
0.8686 0.2500 0.9914
0.8753 0.2500 0.6766
0.8813 0.2500 0.5067
0.9187 0.2500 0.1667
```

[14]
# ZrPaN2

A relaxed structure of ZrPaN2 (GGA-PBE, Alexandria via LeMat-Bulk).

Results
- uncorrected formation energy (meV/atom) = -1392
- electronic total energy (eV for the cell shown) = -120.788
- symmetry = R3m

Structure (POSCAR):
```
ZrPaN2
1.0
3.2613 0.0000 0.0000
-1.6306 2.8243 0.0000
0.0000 0.0000 17.9832
Zr Pa N
3 3 6
Direct
0.0000 0.0000 0.0000
0.3333 0.6667 0.6667
0.6667 0.3333 0.3333
0.0000 0.0000 0.1738
0.3333 0.6667 0.8405
0.6667 0.3333 0.5071
0.0000 0.0000 0.5932
0.0000 0.0000 0.7475
0.3333 0.6667 0.2598
0.3333 0.6667 0.4142
0.6667 0.3333 0.0809
0.6667 0.3333 0.9265
```

[15]
# Zr2PaN3

A relaxed structure of Zr2PaN3 (GGA-PBE, Alexandria via LeMat-Bulk).

Results
- uncorrected formation energy (meV/atom) = -1665
- electronic total energy (eV for the cell shown) = -123.120
- symmetry = Immm

Structure (POSCAR):
```
Zr2PaN3
1.0
3.3471 0.0000 0.0000
0.0000 4.7343 0.0000
0.0000 0.0000 10.0979
Zr Pa N
4 2 6
Direct
0.0000 0.0000 0.1722
0.0000 0.0000 0.8278
0.5000 0.5000 0.3278
0.5000 0.5000 0.6722
0.0000 0.0000 0.5000
0.5000 0.5000 0.0000
0.0000 0.5000 0.1695
0.0000 0.5000 0.5000
0.0000 0.5000 0.8305
0.5000 0.0000 0.0000
0.5000 0.0000 0.3305
0.5000 0.0000 0.6695
```

[16]
# Zr3PaN4

A relaxed structure of Zr3PaN4 (GGA-PBE, Alexandria via LeMat-Bulk).

Results
- uncorrected formation energy (meV/atom) = -1668
- energy above the most stable polymorph in this dataset (meV per atom) = 0
- electronic total energy (eV for the cell shown) = -163.568
- symmetry = P2/c

Structure (POSCAR):
```
Zr3PaN4
1.0
5.7846 0.0000 0.0000
0.0000 6.6308 0.0000
-1.9007 0.0000 5.4470
Zr Pa N
6 2 8
Direct
0.0000 0.1205 0.2500
0.0000 0.3704 0.7500
0.0000 0.6296 0.2500
0.0000 0.8795 0.7500
0.5000 0.1217 0.7500
0.5000 0.8783 0.2500
0.5000 0.3721 0.2500
0.5000 0.6279 0.7500
0.2419 0.3712 0.4982
0.2419 0.6288 0.9982
0.2469 0.1238 0.9990
0.2469 0.8762 0.4990
0.7531 0.1238 0.5010
0.7531 0.8762 0.0010
0.7581 0.3712 0.0018
0.7581 0.6288 0.5018
```

[17]
# Zr3PaN4

A relaxed structure of Zr3PaN4 (GGA-PBE, Alexandria via LeMat-Bulk).

Results
- uncorrected formation energy (meV/atom) = -1483
- energy above the most stable polymorph in this dataset (meV per atom) = 185
- electronic total energy (eV for the cell shown) = -160.605
- symmetry = Pmmn

Structure (POSCAR):
```
Zr3PaN4
1.0
4.6970 0.0000 0.0000
0.0000 7.7625 0.0000
0.0000 0.0000 6.7108
Zr Pa N
6 2 8
Direct
0.2500 0.0021 0.1644
0.2500 0.4979 0.1644
0.2500 0.7500 0.6854
0.7500 0.2500 0.3146
0.7500 0.5021 0.8356
0.7500 0.9979 0.8356
0.2500 0.2500 0.6531
0.7500 0.7500 0.3469
0.2500 0.0041 0.8387
0.2500 0.2500 0.3126
0.2500 0.4959 0.8387
0.2500 0.7500 0.3401
0.7500 0.2500 0.6599
0.7500 0.5041 0.1613
0.7500 0.7500 0.6874
0.7500 0.9959 0.1613
```